# GGA-PBE Y4Al12Ru, optimized geometry
data_Y4Al12Ru
_space_group_name_H-M_alt 'I m -3 m'
_space_group_IT_number 229
_space_group_name_Hall '-I 4 2 3'
_cell_length_a 8.652
_cell_length_b 8.652
_cell_length_c 8.652
_cell_angle_alpha 90.00
_cell_angle_beta 90.00
_cell_angle_gamma 90.00
loop_
_atom_site_label
_atom_site_fract_x
_atom_site_fract_y
_atom_site_fract_z
Y1 0.250 0.250 0.250
Al1 0.000 0.000 0.285
Al2 0.000 0.250 0.500
Ru1 0.000 0.000 0.000
# - calculated density (g/cm³) = 4.00
# - crystal system = cubic
# - total magnetic moment (μB per formula unit) = 0.00
# - E_tot (eV/atom) = -5.210
# - ΔH_f (0 K) (meV/atom) = -501

# GGA-PBE Pr8Te4As3Cl, optimized geometry
data_Pr8Te4As3Cl
_space_group_name_H-M_alt 'R -3 m'
_space_group_IT_number 166
_space_group_name_Hall '-R 3 2"'
_cell_length_a 8.7250
_cell_length_b 8.7250
_cell_length_c 22.0724
_cell_angle_alpha 90.00
_cell_angle_beta 90.00
_cell_angle_gamma 120.00
loop_
_atom_site_label
_atom_site_fract_x
_atom_site_fract_y
_atom_site_fract_z
Pr1 0.0000 0.0000 0.2397
Pr2 0.0109 0.5055 0.7595
Te1 0.0000 0.0000 0.0000
Te2 0.0000 0.5000 0.0000
As1 0.0000 0.5000 0.5000
Cl1 0.0000 0.0000 0.5000
# - calculated density (g/cm³) = 6.50
# - formation energy from raw total energies (eV per atom) = -1.517
# - crystal system = trigonal
# - total magnetic moment (μB per formula unit) = 0.00
# - E_tot (eV/atom) = -5.679

# GGA-PBE SmIn2Br5, optimized geometry
data_SmIn2Br5
_space_group_name_H-M_alt 'P n m a'
_space_group_IT_number 62
_cell_length_a 13.410
_cell_length_b 9.098
_cell_length_c 8.736
_cell_angle_alpha 90.00
_cell_angle_beta 90.00
_cell_angle_gamma 90.00
loop_
_space_group_symop_operation_xyz
'x,y,z'
'-x,-y,-z'
'-x+1/2,-y,z+1/2'
'x+1/2,y,-z+1/2'
'x+1/2,-y+1/2,-z+1/2'
'-x+1/2,y+1/2,z+1/2'
'-x,y+1/2,-z'
'x,-y+1/2,z'
loop_
_atom_site_label
_atom_site_fract_x
_atom_site_fract_y
_atom_site_fract_z
Sm1 0.005 0.250 0.077
In1 0.172 0.005 0.572
Br1 0.004 0.250 0.418
Br2 0.069 0.547 0.169
Br3 0.190 0.250 0.902
Br4 0.206 0.750 0.848
# - calculated density (g/cm³) = 4.86
# - formation energy from raw total energies (eV per atom) = -1.282
# - crystal system = orthorhombic
# - total magnetic moment (μB per formula unit) = 0.00
# - E_tot (eV/atom) = -3.602

# GGA-PBE TbAg2SbSe4, optimized geometry
data_TbAg2SbSe4
_space_group_name_H-M_alt 'P 1 2/m 1'
_space_group_IT_number 10
_cell_length_a 6.927
_cell_length_b 4.168
_cell_length_c 7.232
_cell_angle_alpha 90.00
_cell_angle_beta 110.48
_cell_angle_gamma 90.00
loop_
_space_group_symop_operation_xyz
'x,y,z'
'-x,-y,-z'
'-x,y,-z'
'x,-y,z'
loop_
_atom_site_label
_atom_site_fract_x
_atom_site_fract_y
_atom_site_fract_z
Tb1 0.000 0.000 0.000
Ag1 0.500 0.000 0.500
Ag2 0.500 0.500 0.000
Sb1 0.000 0.500 0.500
Se1 0.247 0.500 0.251
Se2 0.253 0.000 0.751
# - calculated density (g/cm³) = 6.90
# - formation energy from raw total energies (eV per atom) = -0.669
# - crystal system = monoclinic
# - total magnetic moment (μB per formula unit) = 0.00
# - E_tot (eV/atom) = -4.218

# GGA-PBE CaLaSmMg, optimized geometry
data_CaLaSmMg
_space_group_name_H-M_alt 'P 4 m m'
_space_group_IT_number 99
_cell_length_a 3.703
_cell_length_b 3.703
_cell_length_c 9.884
_cell_angle_alpha 90.00
_cell_angle_beta 90.00
_cell_angle_gamma 90.00
loop_
_space_group_symop_operation_xyz
'x,y,z'
'-y,x,z'
'-x,-y,z'
'y,-x,z'
'-x,y,z'
'y,x,z'
'x,-y,z'
'-y,-x,z'
loop_
_atom_site_label
_atom_site_fract_x
_atom_site_fract_y
_atom_site_fract_z
Ca1 0.000 0.000 0.000
La1 0.500 0.500 0.700
Sm1 0.000 0.000 0.446
Mg1 0.500 0.500 0.229
# - calculated density (g/cm³) = 4.33
# - crystal system = tetragonal
# - total magnetic moment (μB per formula unit) = 0.00
# - E_tot (eV/atom) = -3.329
# - ΔH_f (0 K) (meV/atom) = -19

# GGA-PBE YAl2Bi2, optimized geometry
data_YAl2Bi2
_space_group_name_H-M_alt 'P 4/m b m'
_space_group_IT_number 127
_space_group_name_Hall '-P 4 2ab'
_cell_length_a 8.169
_cell_length_b 8.169
_cell_length_c 4.014
_cell_angle_alpha 90.00
_cell_angle_beta 90.00
_cell_angle_gamma 90.00
loop_
_atom_site_label
_atom_site_fract_x
_atom_site_fract_y
_atom_site_fract_z
Y1 0.000 0.000 0.000
Al1 0.149 0.351 0.500
Bi1 0.147 0.647 0.000
# - calculated density (g/cm³) = 6.95
# - crystal system = tetragonal
# - total magnetic moment (μB per formula unit) = 0.00
# - E_tot (eV/atom) = -4.317
# - ΔH_f (0 K) (meV/atom) = 26